ZnCoTeO after structural relaxation, computed with PBE+U.

```
data_ZnCoTeO
_chemical_formula_sum 'Zn2 Co2 Te2 O2'
_symmetry_space_group_name_H-M 'P 1'
_symmetry_Int_Tables_number 1
_cell_length_a 4.4676
_cell_length_b 4.4676
_cell_length_c 7.5507
_cell_angle_alpha 90.00
_cell_angle_beta 90.00
_cell_angle_gamma 90.00
loop_
_symmetry_equiv_pos_as_xyz
'x,y,z'
loop_
_atom_site_label
_atom_site_fract_x
_atom_site_fract_y
_atom_site_fract_z
Co1 0.2500 0.2500 0.6992
Co2 0.7500 0.7500 0.3008
Te1 0.2500 0.7500 0.5000
Te2 0.7500 0.2500 0.5000
O1 0.2500 0.2500 0.9284
O2 0.7500 0.7500 0.0716
Zn1 0.7500 0.7500 0.8291
Zn2 0.2500 0.2500 0.1709
```

Results
- polymorph energy (0 for the lowest one) (meV/atom) = 547.1
- SG = P4/nmm
- calculated volume (A^3/atom) = 18.8

ZnCoTeO after structural relaxation, computed with PBE+U.

```
data_ZnCoTeO
_chemical_formula_sum 'Zn2 Co2 Te2 O2'
_symmetry_space_group_name_H-M 'P 1'
_symmetry_Int_Tables_number 1
_cell_length_a 6.7806
_cell_length_b 6.7806
_cell_length_c 6.0365
_cell_angle_alpha 90.00
_cell_angle_beta 90.00
_cell_angle_gamma 30.58
loop_
_symmetry_equiv_pos_as_xyz
'x,y,z'
loop_
_atom_site_label
_atom_site_fract_x
_atom_site_fract_y
_atom_site_fract_z
Te1 0.6622 0.6622 0.0297
Te2 0.3378 0.3378 0.5297
O1 0.0825 0.0825 0.5366
O2 0.9175 0.9175 0.0366
Zn1 0.3430 0.3430 0.9778
Zn2 0.6570 0.6570 0.4778
Co1 0.0383 0.0383 0.8485
Co2 0.9617 0.9617 0.3485
```

Results
- polymorph energy (0 for the lowest one) (meV/atom) = 41.1
- SG = Cmc2_1
- calculated volume (A^3/atom) = 17.7

ZnCoTeO after structural relaxation, computed with PBE+U.

```
data_ZnCoTeO
_chemical_formula_sum 'Zn4 Co4 Te4 O4'
_symmetry_space_group_name_H-M 'P 1'
_symmetry_Int_Tables_number 1
_cell_length_a 5.5858
_cell_length_b 6.2915
_cell_length_c 7.3513
_cell_angle_alpha 90.00
_cell_angle_beta 90.00
_cell_angle_gamma 90.00
loop_
_symmetry_equiv_pos_as_xyz
'x,y,z'
loop_
_atom_site_label
_atom_site_fract_x
_atom_site_fract_y
_atom_site_fract_z
O1 0.1175 0.3598 0.9250
O2 0.6175 0.1402 0.9250
O3 0.6175 0.6402 0.0750
O4 0.1175 0.8598 0.0750
Co1 0.0529 0.7642 0.3352
Co2 0.0529 0.2642 0.6648
Co3 0.5529 0.2358 0.6648
Co4 0.5529 0.7358 0.3352
Te1 0.7772 0.1077 0.3628
Te2 0.2772 0.3923 0.3628
Te3 0.2772 0.8923 0.6372
Te4 0.7772 0.6077 0.6372
Zn1 0.8024 0.3696 0.0588
Zn2 0.3024 0.1304 0.0588
Zn3 0.3024 0.6304 0.9412
Zn4 0.8024 0.8696 0.9412
```

Results
- polymorph energy (0 for the lowest one) (meV/atom) = 49.8
- SG = Pca2_1
- calculated volume (A^3/atom) = 16.1

ZnCoTeO after structural relaxation, computed with PBE+U.

```
data_ZnCoTeO
_chemical_formula_sum 'Zn4 Co4 Te4 O4'
_symmetry_space_group_name_H-M 'P 1'
_symmetry_Int_Tables_number 1
_cell_length_a 5.9545
_cell_length_b 3.5644
_cell_length_c 13.4955
_cell_angle_alpha 90.00
_cell_angle_beta 90.00
_cell_angle_gamma 90.00
loop_
_symmetry_equiv_pos_as_xyz
'x,y,z'
loop_
_atom_site_label
_atom_site_fract_x
_atom_site_fract_y
_atom_site_fract_z
Zn1 0.3066 0.2500 0.6107
Zn2 0.8066 0.2500 0.8893
Zn3 0.1934 0.7500 0.1107
Zn4 0.6934 0.7500 0.3893
O1 0.2656 0.2500 0.1792
O2 0.7656 0.2500 0.3208
O3 0.2344 0.7500 0.6792
O4 0.7344 0.7500 0.8208
Co1 0.5947 0.2500 0.1975
Co2 0.4053 0.7500 0.8025
Co3 0.0947 0.2500 0.3025
Co4 0.9053 0.7500 0.6975
Te1 0.7459 0.2500 0.5743
Te2 0.2541 0.7500 0.4257
Te3 0.2459 0.2500 0.9257
Te4 0.7541 0.7500 0.0743
```

Results
- polymorph energy (0 for the lowest one) (meV/atom) = 35.8
- SG = Pnma
- calculated volume (A^3/atom) = 17.9

ZnCoTeO after structural relaxation, computed with PBE+U.

```
data_ZnCoTeO
_chemical_formula_sum 'Zn2 Co2 Te2 O2'
_symmetry_space_group_name_H-M 'P 1'
_symmetry_Int_Tables_number 1
_cell_length_a 3.9135
_cell_length_b 3.9135
_cell_length_c 8.1960
_cell_angle_alpha 90.00
_cell_angle_beta 90.00
_cell_angle_gamma 90.00
loop_
_symmetry_equiv_pos_as_xyz
'x,y,z'
loop_
_atom_site_label
_atom_site_fract_x
_atom_site_fract_y
_atom_site_fract_z
O1 0.2500 0.2500 0.9248
O2 0.7500 0.7500 0.0752
Zn1 0.2500 0.7500 0.0000
Zn2 0.7500 0.2500 0.0000
Co1 0.2500 0.2500 0.6713
Co2 0.7500 0.7500 0.3287
Te1 0.2500 0.2500 0.3558
Te2 0.7500 0.7500 0.6442
```

Results
- polymorph energy (0 for the lowest one) (meV/atom) = 91.2
- SG = P4/nmm
- calculated volume (A^3/atom) = 15.7

ZnCoTeO after structural relaxation, computed with PBE+U.

```
data_ZnCoTeO
_chemical_formula_sum 'Zn4 Co4 Te4 O4'
_symmetry_space_group_name_H-M 'P 1'
_symmetry_Int_Tables_number 1
_cell_length_a 5.9049
_cell_length_b 3.6478
_cell_length_c 13.1319
_cell_angle_alpha 90.00
_cell_angle_beta 90.00
_cell_angle_gamma 90.00
loop_
_symmetry_equiv_pos_as_xyz
'x,y,z'
loop_
_atom_site_label
_atom_site_fract_x
_atom_site_fract_y
_atom_site_fract_z
Zn1 0.0981 0.2500 0.2981
Zn2 0.9019 0.7500 0.7019
Zn3 0.5981 0.2500 0.2019
Zn4 0.4019 0.7500 0.7981
Co1 0.2346 0.7500 0.0935
Co2 0.7654 0.2500 0.9065
Co3 0.7346 0.7500 0.4065
Co4 0.2654 0.2500 0.5935
Te1 0.7731 0.7500 0.0737
Te2 0.2269 0.2500 0.9263
Te3 0.7269 0.2500 0.5737
Te4 0.2731 0.7500 0.4263
O1 0.7264 0.7500 0.8270
O2 0.7736 0.2500 0.3270
O3 0.2264 0.7500 0.6730
O4 0.2736 0.2500 0.1730
```

Results
- polymorph energy (0 for the lowest one) (meV/atom) = 37.7
- SG = Pnma
- calculated volume (A^3/atom) = 17.7